(1)
Here is a crystal of CdI2N2 relaxed with PBEsol from the Alexandria database. Energies are from meta-GGA SCAN.

It has space group P4/mmm (No. 123), with a = 4.0984 Å, b = 4.0984 Å, c = 7.3601 Å, α = 90.00°, β = 90.00° and γ = 90.00°. The distinct sites, in fractional coordinates, are Cd at (0.0000, 0.0000, 0.0000), I at (0.5000, 0.5000, 0.0000), I at (0.5000, 0.5000, 0.5000) and N at (0.0000, 0.5000, 0.5000).

The value obtained for the density of states at the Fermi level is 2.5 states/eV/f.u. The uncorrected energy comes out at -114.32 eV for the cell shown. The value obtained for the calculated volume is 24.7 Å³/atom. For the uncorrected formation energy, the calculation gives 1631 meV/atom.

(2)
Here is a crystal of NaCdIN2 relaxed with PBEsol from the Alexandria database. Energies are from meta-GGA SCAN.

It has space group P4/mmm (No. 123), with a = 4.3922 Å, b = 4.3922 Å, c = 6.2808 Å, α = 90.00°, β = 90.00° and γ = 90.00°. The distinct sites, in fractional coordinates, are Na at (0.0000, 0.0000, 0.0000), Cd at (0.5000, 0.5000, 0.5000), I at (0.5000, 0.5000, 0.0000) and N at (0.0000, 0.5000, 0.5000).

The value obtained for the density of states at the Fermi level is 1.4 states/eV/f.u. The uncorrected energy comes out at -85.54 eV for the cell shown. The value obtained for the calculated volume is 24.2 Å³/atom. For the uncorrected formation energy, the calculation gives 883 meV/atom.

(3)
Here is a crystal of CdI2NO relaxed with PBEsol from the Alexandria database. Energies are from meta-GGA SCAN.

It has space group P4/mmm (No. 123), with a = 5.1169 Å, b = 5.1169 Å, c = 3.9076 Å, α = 90.00°, β = 90.00° and γ = 90.00°. The distinct sites, in fractional coordinates, are Cd at (0.0000, 0.0000, 0.0000), I at (0.0000, 0.5000, 0.5000), N at (0.5000, 0.5000, 0.0000) and O at (0.5000, 0.5000, 0.5000).

The value obtained for the density of states at the Fermi level is 1.9 states/eV/f.u. The uncorrected energy comes out at -113.63 eV for the cell shown. The value obtained for the calculated volume is 20.5 Å³/atom. For the uncorrected formation energy, the calculation gives 1158 meV/atom.

(4)
Here is a crystal of CdPbI2N relaxed with PBEsol from the Alexandria database. Energies are from meta-GGA SCAN.

It has space group P4/mmm (No. 123), with a = 6.0079 Å, b = 6.0079 Å, c = 4.1003 Å, α = 90.00°, β = 90.00° and γ = 90.00°. The distinct sites, in fractional coordinates, are Cd at (0.0000, 0.0000, 0.0000), Pb at (0.5000, 0.5000, 0.5000), I at (0.0000, 0.5000, 0.0000) and N at (0.0000, 0.0000, 0.5000).

The value obtained for the density of states at the Fermi level is 2.0 states/eV/f.u. As for the excess energy over the best structure of this formula in the dataset: 0.0000 eV/atom. The uncorrected energy comes out at -186.61 eV for the cell shown. The value obtained for the calculated volume is 29.6 Å³/atom. For the uncorrected formation energy, the calculation gives 472 meV/atom.

(5)
Here is a crystal of CdPbI2N relaxed with PBEsol from the Alexandria database. Energies are from meta-GGA SCAN.

It has space group P4/mmm (No. 123), with a = 6.1539 Å, b = 6.1539 Å, c = 4.2103 Å, α = 90.00°, β = 90.00° and γ = 90.00°. The distinct sites, in fractional coordinates, are Cd at (0.0000, 0.0000, 0.0000), Pb at (0.5000, 0.5000, 0.5000), I at (0.0000, 0.5000, 0.5000) and N at (0.5000, 0.5000, 0.0000).

The value obtained for the density of states at the Fermi level is 5.0 states/eV/f.u. As for the excess energy over the best structure of this formula in the dataset: 0.2572 eV/atom. The uncorrected energy comes out at -185.32 eV for the cell shown. The value obtained for the calculated volume is 31.9 Å³/atom. For the uncorrected formation energy, the calculation gives 730 meV/atom.

(6)
Here is a crystal of RbCdIN2 relaxed with PBEsol from the Alexandria database. Energies are from meta-GGA SCAN.

It has space group P4/mmm (No. 123), with a = 5.3185 Å, b = 5.3185 Å, c = 7.0523 Å, α = 90.00°, β = 90.00° and γ = 90.00°. The distinct sites, in fractional coordinates, are Rb at (0.0000, 0.0000, 0.0000), Cd at (0.5000, 0.5000, 0.5000), I at (0.0000, 0.0000, 0.5000) and N at (0.0000, 0.5000, 0.0000).

The value obtained for the density of states at the Fermi level is 3.4 states/eV/f.u. The uncorrected energy comes out at -98.70 eV for the cell shown. The value obtained for the calculated volume is 39.9 Å³/atom. For the uncorrected formation energy, the calculation gives 1555 meV/atom.

(7)
Here is a crystal of ScCdI2N relaxed with PBEsol from the Alexandria database. Energies are from meta-GGA SCAN.

It has space group P4/mmm (No. 123), with a = 5.8299 Å, b = 5.8299 Å, c = 3.8807 Å, α = 90.00°, β = 90.00° and γ = 90.00°. The distinct sites, in fractional coordinates, are Sc at (0.0000, 0.0000, 0.0000), Cd at (0.5000, 0.5000, 0.5000), I at (0.0000, 0.5000, 0.0000) and N at (0.0000, 0.0000, 0.5000).

The value obtained for the density of states at the Fermi level is 3.5 states/eV/f.u. The uncorrected energy comes out at -128.52 eV for the cell shown. The value obtained for the calculated volume is 26.4 Å³/atom. For the uncorrected formation energy, the calculation gives -220 meV/atom.

(8)
Here is a crystal of CdSeIN2 relaxed with PBEsol from the Alexandria database. Energies are from meta-GGA SCAN.

It has space group P4/mmm (No. 123), with a = 4.3006 Å, b = 4.3006 Å, c = 5.8744 Å, α = 90.00°, β = 90.00° and γ = 90.00°. The distinct sites, in fractional coordinates, are Cd at (0.0000, 0.0000, 0.0000), Se at (0.0000, 0.0000, 0.5000), I at (0.5000, 0.5000, 0.5000) and N at (0.0000, 0.5000, 0.0000).

The value obtained for the density of states at the Fermi level is 1.5 states/eV/f.u. The uncorrected energy comes out at -98.48 eV for the cell shown. The value obtained for the calculated volume is 21.7 Å³/atom. For the uncorrected formation energy, the calculation gives 1467 meV/atom.

(9)
Here is a crystal of CdSnI2N relaxed with PBEsol from the Alexandria database. Energies are from meta-GGA SCAN.

It has space group P4/mmm (No. 123), with a = 6.0070 Å, b = 6.0070 Å, c = 3.8658 Å, α = 90.00°, β = 90.00° and γ = 90.00°. The distinct sites, in fractional coordinates, are Cd at (0.0000, 0.0000, 0.0000), Sn at (0.5000, 0.5000, 0.5000), I at (0.0000, 0.5000, 0.5000) and N at (0.5000, 0.5000, 0.0000).

The value obtained for the density of states at the Fermi level is 2.5 states/eV/f.u. As for the excess energy over the best structure of this formula in the dataset: 0.0000 eV/atom. The uncorrected energy comes out at -146.52 eV for the cell shown. The value obtained for the calculated volume is 27.9 Å³/atom. For the uncorrected formation energy, the calculation gives 518 meV/atom.

(10)
Here is a crystal of CdSnI2N relaxed with PBEsol from the Alexandria database. Energies are from meta-GGA SCAN.

It has space group P4/mmm (No. 123), with a = 5.9703 Å, b = 5.9703 Å, c = 4.0940 Å, α = 90.00°, β = 90.00° and γ = 90.00°. The distinct sites, in fractional coordinates, are Cd at (0.0000, 0.0000, 0.0000), Sn at (0.5000, 0.5000, 0.5000), I at (0.0000, 0.5000, 0.0000) and N at (0.0000, 0.0000, 0.5000).

The value obtained for the density of states at the Fermi level is 2.1 states/eV/f.u. As for the excess energy over the best structure of this formula in the dataset: 0.0835 eV/atom. The uncorrected energy comes out at -146.10 eV for the cell shown. The value obtained for the calculated volume is 29.2 Å³/atom. For the uncorrected formation energy, the calculation gives 601 meV/atom.

(11)
Here is a crystal of TaCdI2N relaxed with PBEsol from the Alexandria database. Energies are from meta-GGA SCAN.

It has space group P4/mmm (No. 123), with a = 5.6417 Å, b = 5.6417 Å, c = 3.9110 Å, α = 90.00°, β = 90.00° and γ = 90.00°. The distinct sites, in fractional coordinates, are Ta at (0.0000, 0.0000, 0.0000), Cd at (0.5000, 0.5000, 0.5000), I at (0.0000, 0.5000, 0.0000) and N at (0.0000, 0.0000, 0.5000).

The value obtained for the density of states at the Fermi level is 2.0 states/eV/f.u. The uncorrected energy comes out at -179.51 eV for the cell shown. The value obtained for the calculated volume is 24.9 Å³/atom. For the uncorrected formation energy, the calculation gives 52 meV/atom.

(12)
Here is a crystal of CdTcI2N relaxed with PBEsol from the Alexandria database. Energies are from meta-GGA SCAN.

It has space group P4/mmm (No. 123), with a = 5.5222 Å, b = 5.5222 Å, c = 3.7281 Å, α = 90.00°, β = 90.00° and γ = 90.00°. The distinct sites, in fractional coordinates, are Cd at (0.0000, 0.0000, 0.0000), Tc at (0.5000, 0.5000, 0.5000), I at (0.0000, 0.5000, 0.5000) and N at (0.5000, 0.5000, 0.0000).

The value obtained for the density of states at the Fermi level is 3.4 states/eV/f.u. The uncorrected energy comes out at -146.94 eV for the cell shown. The value obtained for the calculated volume is 22.7 Å³/atom. For the uncorrected formation energy, the calculation gives 261 meV/atom.

(13)
Here is a crystal of CdTe2IN relaxed with PBEsol from the Alexandria database. Energies are from meta-GGA SCAN.

It has space group P4/mmm (No. 123), with a = 4.7442 Å, b = 4.7442 Å, c = 5.0283 Å, α = 90.00°, β = 90.00° and γ = 90.00°. The distinct sites, in fractional coordinates, are Cd at (0.0000, 0.0000, 0.0000), Te at (0.0000, 0.5000, 0.5000), I at (0.5000, 0.5000, 0.0000) and N at (0.5000, 0.5000, 0.5000).

The value obtained for the density of states at the Fermi level is 2.3 states/eV/f.u. The uncorrected energy comes out at -147.15 eV for the cell shown. The value obtained for the calculated volume is 22.6 Å³/atom. For the uncorrected formation energy, the calculation gives 759 meV/atom.

(14)
Here is a crystal of TlCdIN2 relaxed with PBEsol from the Alexandria database. Energies are from meta-GGA SCAN.

It has space group P4/mmm (No. 123), with a = 4.2922 Å, b = 4.2922 Å, c = 6.6677 Å, α = 90.00°, β = 90.00° and γ = 90.00°. The distinct sites, in fractional coordinates, are Tl at (0.0000, 0.0000, 0.0000), Cd at (0.5000, 0.5000, 0.5000), I at (0.0000, 0.0000, 0.5000) and N at (0.0000, 0.5000, 0.0000).

The value obtained for the density of states at the Fermi level is 2.8 states/eV/f.u. The uncorrected energy comes out at -150.20 eV for the cell shown. The value obtained for the calculated volume is 24.6 Å³/atom. For the uncorrected formation energy, the calculation gives 1580 meV/atom.